Material: PtRhW
Method: DFT, GGA-PBE
State: relaxed

a b c (Å): 4.4058 7.6506 5.4498
angles (deg): 90.00 90.00 90.00
Sites, in units of the cell vectors:
Pt: 0.0000 0.1666 0.2500
Pt: 0.0000 0.8334 0.7500
Pt: 0.5000 0.3334 0.7500
Pt: 0.5000 0.6666 0.2500
Rh: 0.0000 0.1662 0.7500
Rh: 0.0000 0.8338 0.2500
Rh: 0.5000 0.3338 0.2500
Rh: 0.5000 0.6662 0.7500
W: 0.0000 0.5000 0.0000
W: 0.0000 0.5000 0.5000
W: 0.5000 0.0000 0.0000
W: 0.5000 0.0000 0.5000

Values from the calculation:
**Space group**: No. 63
**Crystal system**: orthorhombic
**Offset from the most stable computed form**: 285 meV per atom



Material: Sn3BRu
Method: DFT, GGA-PBE
State: relaxed

a b c (Å): 4.6940 4.6940 4.6940
angles (deg): 90.00 90.00 90.00
Sites, in units of the cell vectors:
Sn: 0.0000 0.0000 0.5000
Sn: 0.0000 0.5000 0.0000
Sn: 0.5000 0.0000 0.0000
B: 0.0000 0.0000 0.0000
Ru: 0.5000 0.5000 0.5000

Values from the calculation:
**Space group**: No. 221
**Crystal system**: cubic
**Offset from the most stable computed form**: 0 meV per atom



Material: Er12TlGa6
Method: DFT, GGA-PBE
State: relaxed

a b c (Å): 8.6413 8.6413 8.6413
angles (deg): 109.47 109.47 109.47
Sites, in units of the cell vectors:
Er: 0.1037 0.8105 0.2932
Er: 0.1895 0.2932 0.4827
Er: 0.1895 0.7068 0.8963
Er: 0.2932 0.1037 0.8105
Er: 0.2932 0.4827 0.1895
Er: 0.4827 0.1895 0.2932
Er: 0.5173 0.8105 0.7068
Er: 0.7068 0.5173 0.8105
Er: 0.7068 0.8963 0.1895
Er: 0.8105 0.2932 0.1037
Er: 0.8105 0.7068 0.5173
Er: 0.8963 0.1895 0.7068
Tl: 0.0000 0.0000 0.0000
Ga: 0.1229 0.6229 0.5000
Ga: 0.3771 0.5000 0.8771
Ga: 0.5000 0.1229 0.6229
Ga: 0.5000 0.8771 0.3771
Ga: 0.6229 0.5000 0.1229
Ga: 0.8771 0.3771 0.5000

Values from the calculation:
**Space group**: No. 204
**Crystal system**: cubic



| no. | calculated formation energy (eV/f.u.) |
| --- | --- |
| 1 | -0.1 |
| 2 | 5.0 |
| 3 | -7.1 |